VASP calculation (PBE-GGA) on a geometry-optimized KCoAg2 structure.

Properties
Calculated formation energy = 467 meV/atom
Total magnetization = 0.43 μB per atom
E = -12.04 eV per cell
E above lowest polymorph = 0 meV per atom
V = 84.8 Å³/cell

Lattice parameters (Å, degrees): 3.223 3.223 8.163 90.00 90.00 90.00
Space group P4/mmm (No. 123)
Symmetry-distinct sites (fractional):
K: 0.000 0.000 0.000 (multiplicity 1)
Co: 0.000 0.000 0.500 (multiplicity 1)
Ag: 0.500 0.500 0.323 (multiplicity 2)

VASP calculation (PBE-GGA) on a geometry-optimized K2CoAg structure.

Properties
Calculated formation energy = 763 meV/atom
Total magnetization = 0.43 μB per atom
E = -18.20 eV per cell
E above lowest polymorph = 240 meV per atom
V = 219.4 Å³/cell

Lattice parameters (Å, degrees): 5.363 5.363 7.630 90.00 90.00 90.00
Space group I-4m2 (No. 119)
Symmetry-distinct sites (fractional):
K: 0.000 0.000 0.000 (multiplicity 2)
K: 0.000 0.500 0.250 (multiplicity 2)
Co: 0.000 0.000 0.500 (multiplicity 2)
Ag: 0.000 0.500 0.750 (multiplicity 2)

VASP calculation (PBE-GGA) on a geometry-optimized KCo2Ag structure.

Properties
Calculated formation energy = 540 meV/atom
Total magnetization = 0.72 μB per atom
E = -48.00 eV per cell
E above lowest polymorph = 33 meV per atom
V = 271.2 Å³/cell

Lattice parameters (Å, degrees): 3.9857 3.9857 19.7119 90.00 90.00 120.00
Space group R3m (No. 160, hexagonal axes)
Symmetry-distinct sites (fractional):
K: 0.0000 0.0000 0.0000 (multiplicity 3)
Co: 0.0000 0.0000 0.4668 (multiplicity 3)
Co: 0.0000 0.0000 0.7999 (multiplicity 3)
Ag: 0.0000 0.0000 0.1986 (multiplicity 3)

VASP calculation (PBE-GGA) on a geometry-optimized KCo2Ag structure.

Properties
Calculated formation energy = 1125 meV/atom
Total magnetization = 0.86 μB per atom
E = -27.32 eV per cell
E above lowest polymorph = 618 meV per atom
V = 146.5 Å³/cell

Lattice parameters (Å, degrees): 4.764 4.764 6.453 90.00 90.00 90.00
Space group I-4m2 (No. 119)
Symmetry-distinct sites (fractional):
K: 0.000 0.000 0.000 (multiplicity 2)
Co: 0.000 0.000 0.500 (multiplicity 2)
Co: 0.000 0.500 0.750 (multiplicity 2)
Ag: 0.000 0.500 0.250 (multiplicity 2)

VASP calculation (PBE-GGA) on a geometry-optimized K4CoAg structure.

Properties
Calculated formation energy = 871 meV/atom
Total magnetization = 0.36 μB per atom
E = -36.48 eV per cell
V = 1074.2 Å³/cell

Lattice parameters (Å, degrees): 10.241 10.241 10.241 90.00 90.00 90.00
Space group F-43m (No. 216)
Symmetry-distinct sites (fractional):
K: 0.125 0.125 0.125 (multiplicity 16)
Co: 0.000 0.000 0.500 (multiplicity 4)
Ag: 0.250 0.250 0.750 (multiplicity 4)

> The lowest E belongs to which entry?

number 3